[1]
Compound: Na2AgSb
Source: Alexandria
Functional: PBEsol
Structure: optimized geometry

POSCAR file:
```
Na2AgSb
1.0
5.505 0.000 0.000
2.753 6.034 0.000
2.753 0.000 6.034
Na Ag Sb
4 2 2
Cartesian
4.817 5.922 2.905 Na
3.441 2.905 0.112 Na
8.946 3.129 5.922 Na
4.817 0.112 3.129 Na
2.753 0.000 0.000 Ag
4.129 3.017 3.017 Ag
0.000 0.000 0.000 Sb
6.882 3.017 3.017 Sb
```

Properties
Formation energy without anion corrections = -0.1 kJ/mol of atoms
VASP energy = -21.3 eV per cell

---

[2]
Compound: Li2SnH10O8
Source: Alexandria
Functional: PBEsol
Structure: optimized geometry

POSCAR file:
```
Li2SnH10O8
1.0
-0.932 -2.362 4.140
1.777 -5.980 -3.012
9.793 2.157 1.496
H Li O Sn
20 4 16 2
Cartesian
6.798 -4.947 0.498 H
9.988 -2.994 0.328 H
5.697 -5.043 -1.058 H
3.841 -1.239 2.126 H
6.349 -0.331 4.082 H
1.064 -2.903 -0.075 H
9.575 -3.283 2.699 H
3.569 -4.859 3.020 H
0.990 -1.170 2.142 H
4.941 -1.142 3.682 H
4.290 -5.854 -1.458 H
2.059 -3.805 -1.797 H
8.580 -2.380 4.420 H
2.735 -2.977 -0.121 H
7.904 -3.209 2.745 H
4.724 -5.584 1.483 H
7.070 -1.327 -0.396 H
5.915 -0.601 1.141 H
9.649 -5.015 0.481 H
0.651 -3.191 2.296 H
8.159 -0.936 2.182 Li
2.480 -5.250 0.442 Li
2.683 -2.816 3.695 Li
7.955 -3.370 -1.071 Li
9.495 0.126 1.281 O
4.112 -2.349 -0.192 O
9.791 -3.637 -0.385 O
0.848 -2.548 3.009 O
6.526 -4.117 -0.012 O
7.113 -6.406 1.271 O
3.526 0.221 1.353 O
4.108 -4.821 1.479 O
1.858 -3.530 -0.150 O
4.113 -2.068 2.636 O
6.530 -1.364 1.145 O
2.832 -6.209 -1.249 O
1.144 -6.312 1.342 O
7.807 0.024 3.873 O
6.527 -3.837 2.816 O
8.780 -2.655 2.774 O
0.000 0.000 0.000 Sn
5.319 -3.093 1.312 Sn
```

Properties
VASP energy = -221.9 eV per cell

---

[3]
Compound: SmCd
Source: Alexandria
Functional: PBEsol
Structure: optimized geometry

POSCAR file:
```
SmCd
1.0
3.738 0.000 0.000
0.000 3.738 0.000
0.000 0.000 3.738
Cd Sm
1 1
Cartesian
1.869 1.869 1.869 Cd
0.000 0.000 0.000 Sm
```

Properties
VASP energy = -6.9 eV per cell
E_form = -330 meV/atom

---

[4]
Compound: MgZr2In
Source: Alexandria
Functional: PBEsol
Structure: optimized geometry

POSCAR file:
```
MgZr2In
1.0
3.236 0.000 -0.154
0.000 4.500 0.000
-1.332 0.000 6.076
Zr Mg In
2 1 1
Cartesian
-1.132 0.000 5.992 Zr
1.894 2.250 1.473 Zr
0.422 2.250 4.556 Mg
0.341 0.000 2.939 In
```

Properties
VASP energy = -23.4 eV per cell
E_form = -120 meV/atom

---

[5]
Compound: SrTiInOs2
Source: Alexandria
Functional: PBEsol
Structure: optimized geometry

POSCAR file:
```
SrTiInOs2
1.0
4.634 0.000 0.000
0.000 4.634 0.000
0.000 0.000 5.166
Os In Ti Sr
2 1 1 1
Cartesian
0.000 2.317 0.000 Os
2.317 0.000 0.000 Os
0.000 0.000 2.583 In
0.000 0.000 0.000 Ti
2.317 2.317 2.583 Sr
```

Properties
VASP energy = -33.2 eV per cell
E_form = 869 meV/atom

---

[6]
Compound: CeCoSi3
Source: Alexandria
Functional: PBEsol
Structure: optimized geometry

POSCAR file:
```
CeCoSi3
1.0
-1.671 3.279 1.736
-0.521 -2.092 3.451
5.340 0.787 -1.116
Co Ce Si
1 1 3
Cartesian
2.871 0.934 1.000 Co
3.140 1.971 4.068 Ce
-0.467 0.798 2.813 Si
1.199 2.301 1.576 Si
1.774 -0.385 2.434 Si
```

Properties
Formation energy without anion corrections = -75.1 kJ/mol of atoms
VASP energy = -35.5 eV per cell

---

[7]
Compound: Hf2TiAs2
Source: Alexandria
Functional: PBEsol
Structure: optimized geometry

POSCAR file:
```
Hf2TiAs2
1.0
-1.169 2.899 1.855
-6.025 -0.268 -3.376
-2.556 -4.160 4.891
Ti Hf As
2 4 4
Cartesian
0.000 0.000 0.000 Ti
-4.290 -2.214 0.758 Ti
-3.234 -1.339 3.616 Hf
-6.514 -0.190 -0.245 Hf
-3.042 0.693 0.562 Hf
-6.707 -2.222 2.809 Hf
-6.802 -2.909 0.262 As
-4.331 -3.656 2.985 As
-4.250 -0.773 -1.469 As
-1.778 -1.519 1.254 As
```

Properties
VASP energy = -88.3 eV per cell
E_form = -920 meV/atom

---

[8]
Compound: CaCuF2
Source: Alexandria
Functional: PBEsol
Structure: optimized geometry

POSCAR file:
```
CaCuF2
1.0
-3.463 0.974 -2.161
-1.837 -2.885 -2.432
-3.700 -1.637 1.116
F Ca Cu
2 1 1
Cartesian
-2.250 -0.887 -0.869 F
-6.750 -2.661 -2.607 F
0.000 0.000 0.000 Ca
-4.500 -1.774 -1.738 Cu
```

Properties
Formation energy without anion corrections = -178.2 kJ/mol of atoms
VASP energy = -17.7 eV per cell